Model P:
# TbDy4Er2

An optimized crystal structure of TbDy4Er2 (PBE-GGA, Alexandria).

Unit cell a=6.086 b=6.494 c=11.437 alpha=90.00 beta=104.87 gamma=90.00
Space group P2_1/m (No. 11)
One atom of each set of equivalent atoms:
1 Tb 0.023 0.250 0.354 x2
2 Dy 0.157 0.250 0.655 x2
3 Dy 0.291 0.750 0.932 x2
4 Dy 0.353 0.504 0.212 x4
5 Er 0.146 0.250 0.941 x2
6 Er 0.395 0.750 0.503 x2

Model Q:
# TbDy4Er2

An optimized crystal structure of TbDy4Er2 (PBE-GGA, Alexandria).

Unit cell a=16.587 b=3.500 c=8.662 alpha=90.00 beta=119.50 gamma=90.00
Space group C2/m (No. 12)
One atom of each set of equivalent atoms:
1 Tb 0.000 0.000 0.000 x2
2 Dy 0.140 0.500 0.834 x4
3 Dy 0.204 0.500 0.294 x4
4 Er 0.070 0.000 0.430 x4

Verdict on stability: model P comes out at the bottom.

Model P:
# TbDy2Er

An optimized crystal structure of TbDy2Er (PBE-GGA, Alexandria).

Unit cell a=4.992 b=4.992 c=4.994 alpha=90.00 beta=90.00 gamma=90.00
Space group P4/mmm (No. 123)
One atom of each set of equivalent atoms:
1 Tb 0.000 0.000 0.000 x1
2 Dy 0.000 0.500 0.500 x2
3 Er 0.500 0.500 0.000 x1

Model Q:
# TbDy2Er

An optimized crystal structure of TbDy2Er (PBE-GGA, Alexandria).

Unit cell a=3.5573 b=3.5573 c=34.1743 alpha=90.00 beta=90.00 gamma=120.00
Space group R3m (No. 160, hexagonal axes)
One atom of each set of equivalent atoms:
1 Tb 0.0000 0.0000 0.0000 x3
2 Dy 0.0000 0.0000 0.1668 x3
3 Dy 0.0000 0.0000 0.7499 x3
4 Er 0.0000 0.0000 0.5832 x3

Model R:
# TbDy2Er

An optimized crystal structure of TbDy2Er (PBE-GGA, Alexandria).

Unit cell a=7.968 b=7.968 c=7.968 alpha=90.00 beta=90.00 gamma=90.00
Space group Fm-3m (No. 225)
One atom of each set of equivalent atoms:
1 Tb 0.000 0.000 0.000 x4
2 Dy 0.250 0.250 0.250 x8
3 Er 0.000 0.000 0.500 x4

Verdict on stability: model R comes out at the bottom.

Model P:
# TbDy2Er7

An optimized crystal structure of TbDy2Er7 (PBE-GGA, Alexandria).

Unit cell a=6.076 b=6.088 c=9.279 alpha=102.63 beta=109.00 gamma=99.57
Space group P-1 (No. 2)
One atom of each set of equivalent atoms:
1 Tb 0.000 0.000 0.000 x1
2 Dy 0.400 0.500 0.300 x2
3 Er 0.000 0.500 0.500 x1
4 Er 0.200 0.000 0.400 x2
5 Er 0.201 0.500 0.900 x2
6 Er 0.399 0.000 0.800 x2

Model Q:
# TbDy2Er7

An optimized crystal structure of TbDy2Er7 (PBE-GGA, Alexandria).

Unit cell a=8.617 b=16.959 c=5.155 alpha=90.00 beta=90.00 gamma=90.00
Space group Cmmm (No. 65)
One atom of each set of equivalent atoms:
1 Tb 0.000 0.000 0.000 x2
2 Dy 0.000 0.299 0.500 x4
3 Er 0.000 0.197 0.000 x4
4 Er 0.000 0.500 0.500 x2
5 Er 0.179 0.109 0.500 x8

Verdict on stability: model Q comes out at the bottom.

Model P:
# TbDy3Er7

An optimized crystal structure of TbDy3Er7 (PBE-GGA, Alexandria).

Unit cell a=6.873 b=5.464 c=9.834 alpha=90.00 beta=110.13 gamma=90.00
Space group P2/m (No. 10)
One atom of each set of equivalent atoms:
1 Tb 0.000 0.000 0.000 x1
2 Dy 0.279 0.500 0.499 x2
3 Dy 0.500 0.000 0.000 x1
4 Er 0.000 0.000 0.500 x1
5 Er 0.147 0.500 0.790 x2
6 Er 0.320 0.500 0.141 x2
7 Er 0.418 0.000 0.331 x2

Model Q:
# TbDy3Er7

An optimized crystal structure of TbDy3Er7 (PBE-GGA, Alexandria).

Unit cell a=12.438 b=11.060 c=5.728 alpha=90.00 beta=117.35 gamma=90.00
Space group C2/m (No. 12)
One atom of each set of equivalent atoms:
1 Tb 0.000 0.000 0.000 x2
2 Dy 0.000 0.292 0.500 x4
3 Dy 0.000 0.500 0.000 x2
4 Er 0.000 0.000 0.500 x2
5 Er 0.204 0.303 0.204 x8
6 Er 0.207 0.500 0.706 x4

Verdict on stability: model Q comes out at the bottom.

Model P:
# Tb3Dy4Er4

An optimized crystal structure of Tb3Dy4Er4 (PBE-GGA, Alexandria).

Unit cell a=3.508 b=11.118 c=18.107 alpha=90.00 beta=90.00 gamma=90.00
Space group Immm (No. 71)
One atom of each set of equivalent atoms:
1 Tb 0.000 0.000 0.000 x2
2 Tb 0.000 0.500 0.109 x4
3 Dy 0.000 0.000 0.219 x4
4 Dy 0.000 0.208 0.500 x4
5 Er 0.000 0.257 0.329 x8

Model Q:
# Tb3Dy4Er4

An optimized crystal structure of Tb3Dy4Er4 (PBE-GGA, Alexandria).

Unit cell a=3.468 b=5.566 c=17.980 alpha=98.90 beta=95.52 gamma=90.00
Space group P-1 (No. 2)
One atom of each set of equivalent atoms:
1 Tb 0.000 0.000 0.000 x1
2 Tb 0.137 0.637 0.274 x2
3 Dy 0.320 0.819 0.639 x2
4 Dy 0.454 0.454 0.908 x2
5 Er 0.266 0.267 0.533 x2
6 Er 0.409 0.909 0.819 x2

Verdict on stability: model P comes out at the bottom.

Model P:
# TbDy3Er4

An optimized crystal structure of TbDy3Er4 (PBE-GGA, Alexandria).

Unit cell a=11.141 b=7.207 c=6.231 alpha=90.00 beta=90.00 gamma=90.00
Space group Pmn2_1 (No. 31)
One atom of each set of equivalent atoms:
1 Tb 0.000 0.126 0.000 x2
2 Dy 0.000 0.874 0.500 x2
3 Dy 0.250 0.126 0.334 x4
4 Er 0.000 0.376 0.501 x2
5 Er 0.000 0.624 0.000 x2
6 Er 0.250 0.376 0.833 x4

Model Q:
# TbDy3Er4

An optimized crystal structure of TbDy3Er4 (PBE-GGA, Alexandria).

Unit cell a=5.575 b=25.933 c=3.518 alpha=90.00 beta=90.00 gamma=90.00
Space group Cmmm (No. 65)
One atom of each set of equivalent atoms:
1 Tb 0.000 0.000 0.000 x2
2 Dy 0.000 0.344 0.000 x4
3 Dy 0.000 0.500 0.500 x2
4 Er 0.000 0.104 0.500 x4
5 Er 0.000 0.223 0.500 x4

Verdict on stability: model Q comes out at the bottom.

Model P:
# Tb3DyEr5

An optimized crystal structure of Tb3DyEr5 (PBE-GGA, Alexandria).

Unit cell a=11.763 b=9.810 c=11.463 alpha=90.00 beta=119.03 gamma=90.00
Space group C2/c (No. 15)
One atom of each set of equivalent atoms:
1 Tb 0.000 0.000 0.000 x4
2 Tb 0.167 0.499 0.333 x8
3 Dy 0.000 0.188 0.250 x4
4 Er 0.000 0.191 0.750 x4
5 Er 0.166 0.312 0.583 x8
6 Er 0.168 0.311 0.084 x8

Model Q:
# Tb3DyEr5

An optimized crystal structure of Tb3DyEr5 (PBE-GGA, Alexandria).

Unit cell a=15.064 b=11.261 c=9.871 alpha=90.00 beta=130.51 gamma=90.00
Space group C2/m (No. 12)
One atom of each set of equivalent atoms:
1 Tb 0.000 0.000 0.000 x2
2 Tb 0.000 0.500 0.500 x2
3 Tb 0.009 0.000 0.312 x4
4 Tb 0.022 0.500 0.864 x4
5 Dy 0.250 0.000 0.100 x4
6 Er 0.000 0.240 0.500 x4
7 Er 0.153 0.249 0.250 x8
8 Er 0.220 0.000 0.729 x4
9 Er 0.223 0.500 0.537 x4

Verdict on stability: model Q comes out at the bottom.

Model P:
# Tb5Dy2Er4

An optimized crystal structure of Tb5Dy2Er4 (PBE-GGA, Alexandria).

Unit cell a=3.473 b=8.952 c=23.073 alpha=90.00 beta=90.00 gamma=90.00
Space group Immm (No. 71)
One atom of each set of equivalent atoms:
1 Tb 0.000 0.000 0.000 x2
2 Tb 0.000 0.301 0.355 x8
3 Dy 0.000 0.500 0.231 x4
4 Er 0.000 0.189 0.500 x4
5 Er 0.000 0.500 0.097 x4

Model Q:
# Tb5Dy2Er4

An optimized crystal structure of Tb5Dy2Er4 (PBE-GGA, Alexandria).

Unit cell a=16.948 b=3.505 c=14.082 alpha=90.00 beta=124.46 gamma=90.00
Space group C2/m (No. 12)
One atom of each set of equivalent atoms:
1 Tb 0.000 0.000 0.000 x2
2 Tb 0.033 0.000 0.639 x4
3 Tb 0.189 0.500 0.564 x4
4 Dy 0.144 0.500 0.902 x4
5 Er 0.091 0.500 0.270 x4
6 Er 0.225 0.500 0.179 x4

Verdict on stability: model P comes out at the bottom.